[1]
ZnSe2: optimized geometry, PBE.

Lattice parameters (Å, degrees): 3.879 3.879 10.073 90.00 90.00 120.00
Fractional positions:
Zn1 0.000 0.000 0.750
Se1 0.667 0.333 0.112
Se2 0.667 0.333 0.388
Zn2 0.000 0.000 0.250
Se3 0.333 0.667 0.888
Se4 0.333 0.667 0.612

Results
size of the total moment: 0.0 μB per cell
energy: -17.0 eV per cell
E_form (uncorrected): -0.087 eV/atom

---

[2]
ZrZnSe: optimized geometry, PBE.

Lattice parameters (Å, degrees): 4.533 4.533 4.533 60.00 60.00 60.00
Fractional positions:
Zr1 0.000 0.000 0.000
Se1 0.500 0.500 0.500
Zn1 0.750 0.750 0.750

Results
size of the total moment: 0.0 μB per cell
energy: -12.7 eV per cell
excess energy over the best structure of this formula in the dataset: 264 kJ/mol of formula units
E_form (uncorrected): 0.192 eV/atom

---

[3]
ZrZnSe3: optimized geometry, PBE.

Lattice parameters (Å, degrees): 4.838 4.838 4.838 90.00 90.00 90.00
Fractional positions:
Se1 0.000 0.500 0.000
Se2 0.000 0.000 0.500
Zn1 0.000 0.000 0.000
Zr1 0.500 0.500 0.500
Se3 0.500 0.000 0.000

Results
size of the total moment: 0.0 μB per cell
energy: -19.8 eV per cell
excess energy over the best structure of this formula in the dataset: 190 kJ/mol of formula units
E_form (uncorrected): 0.088 eV/atom

---

[4]
ZrZn4Se: optimized geometry, PBE.

Lattice parameters (Å, degrees): 5.268 5.268 5.268 60.00 60.00 60.00
Fractional positions:
Se1 0.000 0.000 0.000
Zn1 0.624 0.624 0.128
Zr1 0.250 0.250 0.250
Zn2 0.624 0.128 0.624
Zn3 0.624 0.624 0.624
Zn4 0.128 0.624 0.624

Results
size of the total moment: 0.0 μB per cell
energy: -17.1 eV per cell
E_form (uncorrected): 0.012 eV/atom

---

[5]
ZrZnSe: optimized geometry, PBE.

Lattice parameters (Å, degrees): 5.558 5.558 3.400 72.18 72.20 35.62
Fractional positions:
Se1 0.013 0.013 0.987
Zn1 0.332 0.332 0.668
Zr1 0.655 0.655 0.345

Results
size of the total moment: 0.0 μB per cell
energy: -15.0 eV per cell
excess energy over the best structure of this formula in the dataset: 49 kJ/mol of formula units
E_form (uncorrected): -0.548 eV/atom

---

[6]
ZrZnSe2: optimized geometry, PBE.

Lattice parameters (Å, degrees): 3.665 3.665 7.577 75.95 75.95 60.01
Fractional positions:
Zr1 0.750 0.750 0.750
Zn1 0.250 0.250 0.250
Se1 0.002 0.002 0.992
Se2 0.498 0.498 0.508

Results
size of the total moment: 0.0 μB per cell
energy: -20.1 eV per cell
E_form (uncorrected): -0.837 eV/atom

---

[7]
Zr3ZnSe: optimized geometry, PBE.

Lattice parameters (Å, degrees): 4.972 4.972 4.972 90.00 90.00 90.00
Fractional positions:
Zr1 0.000 0.000 0.500
Se1 0.000 0.000 0.000
Zr2 0.500 0.000 0.000
Zn1 0.500 0.500 0.500
Zr3 0.000 0.500 0.000

Results
size of the total moment: 0.0 μB per cell
energy: -30.2 eV per cell
excess energy over the best structure of this formula in the dataset: 0 kJ/mol of formula units
E_form (uncorrected): 0.042 eV/atom

---

[8]
ZrZnSe2: optimized geometry, PBE.

Lattice parameters (Å, degrees): 5.032 5.032 5.032 135.10 118.56 79.26
Fractional positions:
Se1 0.469 0.469 0.000
Zr1 0.750 0.250 0.500
Zn1 0.250 0.750 0.500
Se2 0.031 0.031 0.000

Results
size of the total moment: 0.0 μB per cell
energy: -19.0 eV per cell
E_form (uncorrected): -0.561 eV/atom

---

[9]
ZrZnSe4: optimized geometry, PBE.

Lattice parameters (Å, degrees): 5.670 5.670 5.670 60.00 60.00 60.00
Each line ends with the local moment (μB).
Fractional positions:
Zn1 0.750 0.750 0.750  0.00
Zr1 0.000 0.000 0.000  0.57
Se1 0.375 0.876 0.375  -0.01
Se2 0.375 0.375 0.876  -0.01
Se3 0.375 0.375 0.375  -0.01
Se4 0.876 0.375 0.375  -0.01

Results
size of the total moment: 0.9 μB per cell
energy: -21.4 eV per cell
E_form (uncorrected): 0.386 eV/atom

---

[10]
ZrZnSe2: optimized geometry, PBE.

Lattice parameters (Å, degrees): 6.107 6.107 6.107 143.55 143.55 52.51
Fractional positions:
Zr1 0.750 0.250 0.500
Zn1 0.500 0.500 0.000
Se1 0.000 0.000 0.000
Se2 0.250 0.750 0.500

Results
size of the total moment: 0.0 μB per cell
energy: -18.7 eV per cell
E_form (uncorrected): -0.474 eV/atom

---

[11]
ZrZnSe2: optimized geometry, PBE.

Lattice parameters (Å, degrees): 6.188 6.188 6.998 63.76 63.76 90.00
Each line ends with the local moment (μB).
Fractional positions:
Zn1 0.250 0.750 0.500  0.03
Zr1 0.000 0.000 0.000  0.47
Se1 0.375 0.396 0.750  -0.01
Se2 0.604 0.125 0.250  -0.01
Zr2 0.750 0.250 0.500  0.47
Se3 0.875 0.854 0.750  0.00
Se4 0.146 0.625 0.250  0.00
Zn2 0.500 0.500 0.000  0.03

Results
size of the total moment: 1.8 μB per cell
energy: -37.9 eV per cell
E_form (uncorrected): -0.534 eV/atom

---

[12]
ZrZnSe2: optimized geometry, PBE.

Lattice parameters (Å, degrees): 3.445 3.477 6.881 70.54 90.00 90.00
Fractional positions:
Zr1 0.500 0.750 0.750
Se1 0.000 0.402 0.513
Se2 0.000 0.098 0.987
Zn1 0.500 0.250 0.250

Results
size of the total moment: 0.0 μB per cell
energy: -19.9 eV per cell
E_form (uncorrected): -0.773 eV/atom

---

[13]
ZrZnSe2: optimized geometry, PBE.

Lattice parameters (Å, degrees): 3.443 3.443 6.525 90.00 90.00 90.00
Fractional positions:
Zn1 0.500 0.500 0.250
Zr1 0.500 0.500 0.750
Se1 0.000 0.000 0.985
Se2 0.000 0.000 0.515

Results
size of the total moment: 0.0 μB per cell
energy: -19.8 eV per cell
E_form (uncorrected): -0.750 eV/atom

---

[14]
ZrZnSe: optimized geometry, PBE.

Lattice parameters (Å, degrees): 4.540 4.540 3.603 90.00 90.00 120.00
Fractional positions:
Zn1 0.667 0.333 0.333
Se1 0.000 0.000 0.834
Zr1 0.333 0.667 0.833

Results
size of the total moment: 0.0 μB per cell
energy: -14.2 eV per cell
excess energy over the best structure of this formula in the dataset: 118 kJ/mol of formula units
E_form (uncorrected): -0.312 eV/atom

---

[15]
ZrZnSe2: optimized geometry, PBE.

Lattice parameters (Å, degrees): 3.838 3.839 5.648 90.00 90.00 90.00
Fractional positions:
Se1 0.500 0.500 0.373
Zn1 0.000 0.000 0.379
Zr1 0.500 0.500 0.873
Se2 0.000 0.000 0.875

Results
size of the total moment: 0.0 μB per cell
energy: -19.6 eV per cell
E_form (uncorrected): -0.702 eV/atom

---

[16]
ZrZnSe2: optimized geometry, PBE.

Lattice parameters (Å, degrees): 4.701 4.701 3.421 90.05 90.05 90.01
Fractional positions:
Se1 0.500 0.500 0.000
Zr1 0.000 0.500 0.500
Zn1 0.500 0.000 0.500
Se2 0.000 0.000 0.000

Results
size of the total moment: 0.0 μB per cell
energy: -19.0 eV per cell
E_form (uncorrected): -0.542 eV/atom

---

[17]
ZrZnSe2: optimized geometry, PBE.

Lattice parameters (Å, degrees): 4.840 4.840 4.840 60.00 60.00 60.00
Fractional positions:
Zn1 0.500 0.500 0.500
Zr1 0.750 0.750 0.750
Se1 0.000 0.000 0.000
Se2 0.250 0.250 0.250

Results
size of the total moment: 0.0 μB per cell
energy: -17.1 eV per cell
E_form (uncorrected): -0.079 eV/atom

---

[18]
Zr2ZnSe4: optimized geometry, PBE.

Lattice parameters (Å, degrees): 7.828 7.828 7.840 59.97 59.97 89.98
Fractional positions:
Se1 0.258 0.753 0.494
Se2 0.253 0.247 0.994
Se3 0.747 0.753 0.006
Zn1 0.125 0.375 0.250
Se4 0.742 0.247 0.506
Zn2 0.875 0.625 0.750
Se5 0.253 0.758 0.994
Zr1 0.500 0.000 0.000
Zr2 0.500 0.000 0.500
Zr3 0.000 0.000 0.000
Se6 0.747 0.753 0.494
Se7 0.747 0.242 0.006
Zr4 0.500 0.500 0.500
Se8 0.253 0.247 0.506

Results
size of the total moment: 0.0 μB per cell
energy: -80.1 eV per cell
E_form (uncorrected): -1.107 eV/atom

---

[19]
ZrZnSe2: optimized geometry, PBE.

Lattice parameters (Å, degrees): 8.903 8.903 8.903 24.13 24.13 24.13
Fractional positions:
Zr1 0.500 0.500 0.500
Se1 0.103 0.103 0.103
Se2 0.897 0.897 0.897
Zn1 0.000 0.000 0.000

Results
size of the total moment: 0.0 μB per cell
energy: -20.0 eV per cell
E_form (uncorrected): -0.801 eV/atom

---

[20]
ZrZnSe: optimized geometry, PBE.

Lattice parameters (Å, degrees): 3.522 3.522 6.069 90.00 90.00 120.00
Fractional positions:
Zr1 0.333 0.667 0.686
Se1 0.000 0.000 0.975
Zn1 0.667 0.333 0.339

Results
size of the total moment: 0.0 μB per cell
energy: -14.7 eV per cell
excess energy over the best structure of this formula in the dataset: 74 kJ/mol of formula units
E_form (uncorrected): -0.464 eV/atom